a | # GGA-PBE CeThAl2, relaxed
data_CeThAl2
_space_group_name_H-M_alt 'P 4/m m m'
_space_group_IT_number 123
_space_group_name_Hall '-P 4 2'
_cell_length_a 3.692
_cell_length_b 3.692
_cell_length_c 7.440
_cell_angle_alpha 90.00
_cell_angle_beta 90.00
_cell_angle_gamma 90.00
loop_
_atom_site_label
_atom_site_fract_x
_atom_site_fract_y
_atom_site_fract_z
_atom_site_occupancy
Ce1 0.000 0.000 0.000 1
Th1 0.000 0.000 0.500 1
Al1 0.500 0.500 0.245 1
# **Total magnetic moment**: 1.2 μB per formula unit
# **Crystal system**: tetragonal

b | # GGA-PBE CeThAl2, relaxed
data_CeThAl2
_space_group_name_H-M_alt 'P 4/m m m'
_space_group_IT_number 123
_space_group_name_Hall '-P 4 2'
_cell_length_a 4.690
_cell_length_b 4.690
_cell_length_c 4.417
_cell_angle_alpha 90.00
_cell_angle_beta 90.00
_cell_angle_gamma 90.00
loop_
_atom_site_label
_atom_site_fract_x
_atom_site_fract_y
_atom_site_fract_z
_atom_site_occupancy
Ce1 0.000 0.000 0.000 1
Th1 0.500 0.500 0.000 1
Al1 0.000 0.500 0.500 1
# **Total magnetic moment**: 0.0 μB per formula unit
# **Crystal system**: tetragonal

Quick one: most stable of them? b

a | # GGA-PBE Ce4ThAl, relaxed
data_Ce4ThAl
_space_group_name_H-M_alt 'P -1'
_space_group_IT_number 2
_space_group_name_Hall '-P 1'
_cell_length_a 5.790
_cell_length_b 6.747
_cell_length_c 8.434
_cell_angle_alpha 76.82
_cell_angle_beta 82.22
_cell_angle_gamma 89.89
loop_
_atom_site_label
_atom_site_fract_x
_atom_site_fract_y
_atom_site_fract_z
_atom_site_occupancy
Ce1 0.073 0.207 0.159 1
Ce2 0.248 0.881 0.476 1
Ce3 0.323 0.038 0.836 1
Ce4 0.328 0.549 0.837 1
Th1 0.240 0.376 0.497 1
Al1 0.168 0.704 0.164 1
# **Total magnetic moment**: 0.0 μB per formula unit
# **Crystal system**: triclinic

b | # GGA-PBE Ce4ThAl, relaxed
data_Ce4ThAl
_space_group_name_H-M_alt 'P 42/n m c'
_space_group_IT_number 137
_cell_length_a 8.031
_cell_length_b 8.031
_cell_length_c 5.978
_cell_angle_alpha 90.00
_cell_angle_beta 90.00
_cell_angle_gamma 90.00
loop_
_space_group_symop_operation_xyz
'x,y,z'
'-x,-y,-z'
'-y+1/2,x,z+1/2'
'y+1/2,-x,-z+1/2'
'-x+1/2,-y+1/2,z'
'x+1/2,y+1/2,-z'
'y,-x+1/2,z+1/2'
'-y,x+1/2,-z+1/2'
'x+1/2,-y,-z'
'-x+1/2,y,z'
'-y,-x,-z+1/2'
'y,x,z+1/2'
'-x,y+1/2,-z'
'x,-y+1/2,z'
'y+1/2,x+1/2,-z+1/2'
'-y+1/2,-x+1/2,z+1/2'
loop_
_atom_site_label
_atom_site_fract_x
_atom_site_fract_y
_atom_site_fract_z
_atom_site_occupancy
Ce1 0.087 0.250 0.057 1
Th1 0.250 0.750 0.250 1
Al1 0.250 0.750 0.750 1
# **Total magnetic moment**: 2.2 μB per formula unit
# **Crystal system**: tetragonal

Quick one: most stable of them? a

a | # GGA-PBE Ce2TiAl, relaxed
data_Ce2TiAl
_space_group_name_H-M_alt 'R -3 m'
_space_group_IT_number 166
_space_group_name_Hall '-R 3 2"'
_cell_length_a 3.0001
_cell_length_b 3.0001
_cell_length_c 32.9813
_cell_angle_alpha 90.00
_cell_angle_beta 90.00
_cell_angle_gamma 120.00
loop_
_atom_site_label
_atom_site_fract_x
_atom_site_fract_y
_atom_site_fract_z
_atom_site_occupancy
Ce1 0.0000 0.0000 0.0840 1
Ti1 0.0000 0.0000 0.0000 1
Al1 0.0000 0.0000 0.5000 1
# **Total magnetic moment**: 0.6 μB per formula unit
# **Crystal system**: trigonal

b | # GGA-PBE Ce2TiAl, relaxed
data_Ce2TiAl
_space_group_name_H-M_alt 'P 4/m m m'
_space_group_IT_number 123
_space_group_name_Hall '-P 4 2'
_cell_length_a 3.814
_cell_length_b 3.814
_cell_length_c 6.641
_cell_angle_alpha 90.00
_cell_angle_beta 90.00
_cell_angle_gamma 90.00
loop_
_atom_site_label
_atom_site_fract_x
_atom_site_fract_y
_atom_site_fract_z
_atom_site_occupancy
Ce1 0.000 0.000 0.243 1
Ti1 0.500 0.500 0.500 1
Al1 0.500 0.500 0.000 1
# **Total magnetic moment**: 3.3 μB per formula unit
# **Crystal system**: tetragonal

c | # GGA-PBE Ce2TiAl, relaxed
data_Ce2TiAl
_space_group_name_H-M_alt 'P 4/m m m'
_space_group_IT_number 123
_space_group_name_Hall '-P 4 2'
_cell_length_a 4.303
_cell_length_b 4.303
_cell_length_c 4.736
_cell_angle_alpha 90.00
_cell_angle_beta 90.00
_cell_angle_gamma 90.00
loop_
_atom_site_label
_atom_site_fract_x
_atom_site_fract_y
_atom_site_fract_z
_atom_site_occupancy
Ce1 0.000 0.500 0.000 1
Ti1 0.000 0.000 0.500 1
Al1 0.500 0.500 0.500 1
# **Total magnetic moment**: 0.0 μB per formula unit
# **Crystal system**: tetragonal

Quick one: most stable of them? c

a | # GGA-PBE CeTi2Al, relaxed
data_CeTi2Al
_space_group_name_H-M_alt 'P 4/m m m'
_space_group_IT_number 123
_space_group_name_Hall '-P 4 2'
_cell_length_a 2.893
_cell_length_b 2.893
_cell_length_c 9.042
_cell_angle_alpha 90.00
_cell_angle_beta 90.00
_cell_angle_gamma 90.00
loop_
_atom_site_label
_atom_site_fract_x
_atom_site_fract_y
_atom_site_fract_z
_atom_site_occupancy
Ce1 0.000 0.000 0.000 1
Ti1 0.500 0.500 0.286 1
Al1 0.000 0.000 0.500 1
# **Total magnetic moment**: 0.0 μB per formula unit
# **Crystal system**: tetragonal

b | # GGA-PBE CeTi2Al, relaxed
data_CeTi2Al
_space_group_name_H-M_alt 'F m -3 m'
_space_group_IT_number 225
_space_group_name_Hall '-F 4 2 3'
_cell_length_a 6.690
_cell_length_b 6.690
_cell_length_c 6.690
_cell_angle_alpha 90.00
_cell_angle_beta 90.00
_cell_angle_gamma 90.00
loop_
_atom_site_label
_atom_site_fract_x
_atom_site_fract_y
_atom_site_fract_z
_atom_site_occupancy
Ce1 0.000 0.000 0.000 1
Ti1 0.250 0.250 0.250 1
Al1 0.000 0.000 0.500 1
# **Total magnetic moment**: 2.3 μB per formula unit
# **Crystal system**: cubic

Quick one: most stable of them? a

a | # GGA-PBE CeAlTl, relaxed
data_CeAlTl
_space_group_name_H-M_alt 'P -3 m 1'
_space_group_IT_number 164
_space_group_name_Hall '-P 3 2"'
_cell_length_a 4.8960
_cell_length_b 4.8960
_cell_length_c 7.3723
_cell_angle_alpha 90.00
_cell_angle_beta 90.00
_cell_angle_gamma 120.00
loop_
_atom_site_label
_atom_site_fract_x
_atom_site_fract_y
_atom_site_fract_z
_atom_site_occupancy
Ce1 0.0000 0.0000 0.2327 1
Al1 0.3333 0.6667 0.9957 1
Tl1 0.3333 0.6667 0.4406 1
# **Total magnetic moment**: 1.0 μB per formula unit
# **Crystal system**: trigonal

b | # GGA-PBE CeAlTl, relaxed
data_CeAlTl
_space_group_name_H-M_alt 'I 4 m m'
_space_group_IT_number 107
_space_group_name_Hall 'I 4 -2'
_cell_length_a 3.068
_cell_length_b 3.068
_cell_length_c 16.881
_cell_angle_alpha 90.00
_cell_angle_beta 90.00
_cell_angle_gamma 90.00
loop_
_atom_site_label
_atom_site_fract_x
_atom_site_fract_y
_atom_site_fract_z
_atom_site_occupancy
Ce1 0.000 0.000 0.000 1
Al1 0.000 0.000 0.822 1
Tl1 0.000 0.000 0.658 1
# **Total magnetic moment**: 0.7 μB per formula unit
# **Crystal system**: tetragonal

Quick one: most stable of them? a